The following is a DFT calculation (PBE) of an optimized crystal structure of UHgGe2O8.

Unit cell a=8.4196 b=8.4196 c=8.4196 alpha=35.01 beta=35.01 gamma=35.01
Closest atoms and distances in Å follow each position.
Positions (direct):
U  0.0000  0.0000  0.0000  6 O 2.09
Hg  0.5000  0.5000  0.5000  12 O 2.93-3.21
Ge  0.2501  0.2501  0.2501  4 O 1.75-1.78
Ge  0.7499  0.7499  0.7499  4 O 1.75-1.78
O  0.0359  0.3895  0.7353  1 Ge 1.78
O  0.1764  0.1764  0.1764  1 Ge 1.75
O  0.2647  0.9641  0.6105  1 Ge 1.78
O  0.3895  0.7353  0.0359  1 Ge 1.78
O  0.6105  0.2647  0.9641  1 Ge 1.78
O  0.7353  0.0359  0.3895  1 Ge 1.78
O  0.8236  0.8236  0.8236  1 Ge 1.75
O  0.9641  0.6105  0.2647  1 Ge 1.78

## Properties
crystal system	trigonal
formation energy (no corrections)	-1.657	eV/atom
DFT total energy	-6.6980	eV/atom
size of the total moment	0.1	μB/cell